Record 1
Entry from Alexandria: a relaxed structure of CuPt2Br2 (PBE-GGA).

Cell: 7.3595 7.3595 3.8102 Å, 90.00 90.00 90.00°
Atoms (fractional coordinates):
1 Cu 0.0000 0.0000 0.0000
2 Cu 0.5000 0.5000 0.0000
3 Pt 0.1217 0.3783 0.5000
4 Pt 0.3783 0.8783 0.5000
5 Pt 0.6217 0.1217 0.5000
6 Pt 0.8783 0.6217 0.5000
7 Br 0.2148 0.7148 0.0000
8 Br 0.2852 0.2148 0.0000
9 Br 0.7148 0.7852 0.0000
10 Br 0.7852 0.2852 0.0000

Results
- SG = P4/mbm, No. 127
- density of states at the Fermi level (states/eV per atom) = 0.715
- E (eV/atom) = -3.228
- energy above the lowest structure with this stoichiometry (meV/atom) = 86
- ΔE_f (raw) (eV/atom) = 0.68

Record 2
Entry from Alexandria: a relaxed structure of CuPt2Br (PBE-GGA).

Cell: 3.0375 3.0375 7.1920 Å, 90.00 90.00 90.00°
Atoms (fractional coordinates):
1 Cu 0.0000 0.0000 0.0000
2 Pt 0.5000 0.5000 0.2067
3 Pt 0.5000 0.5000 0.7933
4 Br 0.0000 0.0000 0.5000

Results
- SG = P4/mmm, No. 123
- density of states at the Fermi level (states/eV per atom) = 0.948
- E (eV/atom) = -4.091
- energy above the lowest structure with this stoichiometry (meV/atom) = 146
- ΔE_f (raw) (eV/atom) = 0.37

Record 3
Entry from Alexandria: a relaxed structure of CuPtBr6 (PBE-GGA).

Cell: 6.1582 6.5594 7.0048 Å, 115.03 114.08 90.49°
Atoms (fractional coordinates):
1 Cu 0.0000 0.0000 0.0000
2 Pt 0.5000 0.5000 0.0000
3 Br 0.0962 0.2329 0.8345
4 Br 0.2492 0.7519 0.8460
5 Br 0.4795 0.2918 0.6002
6 Br 0.5205 0.7082 0.3998
7 Br 0.7508 0.2481 0.1540
8 Br 0.9038 0.7671 0.1655

Results
- SG = P-1, No. 2
- density of states at the Fermi level (states/eV per atom) = 0.710
- E (eV/atom) = -2.683
- energy above the lowest structure with this stoichiometry (meV/atom) = 77
- ΔE_f (raw) (eV/atom) = -0.16

Record 4
Entry from Alexandria: a relaxed structure of CuPt2Br (PBE-GGA).

Cell: 4.9264 4.9264 4.9264 Å, 131.44 131.44 71.11°
Atoms (fractional coordinates):
1 Cu 0.0000 0.0000 0.0000
2 Pt 0.2500 0.7500 0.5000
3 Pt 0.5000 0.5000 0.0000
4 Br 0.7500 0.2500 0.5000

Results
- SG = I-4m2, No. 119
- density of states at the Fermi level (states/eV per atom) = 0.862
- E (eV/atom) = -3.900
- energy above the lowest structure with this stoichiometry (meV/atom) = 337
- ΔE_f (raw) (eV/atom) = 0.56

Record 5
Entry from Alexandria: a relaxed structure of CuPt2Br (PBE-GGA).

Cell: 5.3322 5.3322 4.4872 Å, 96.24 96.24 32.18°
Atoms (fractional coordinates):
1 Cu 0.0000 0.0000 0.0000
2 Pt 0.2837 0.2837 0.7666
3 Pt 0.7163 0.7163 0.2334
4 Br 0.5000 0.5000 0.5000

Results
- SG = C2/m, No. 12
- density of states at the Fermi level (states/eV per atom) = 0.630
- E (eV/atom) = -4.090
- energy above the lowest structure with this stoichiometry (meV/atom) = 147
- ΔE_f (raw) (eV/atom) = 0.37

Record 6
Entry from Alexandria: a relaxed structure of CuPt2Br (PBE-GGA).

Cell: 4.8062 4.8062 2.9368 Å, 90.00 90.00 106.12°
Atoms (fractional coordinates):
1 Cu 0.0000 0.0000 0.0000
2 Pt 0.0000 0.5000 0.5000
3 Pt 0.5000 0.0000 0.5000
4 Br 0.5000 0.5000 0.0000

Results
- SG = Cmmm, No. 65
- density of states at the Fermi level (states/eV per atom) = 0.528
- E (eV/atom) = -3.935
- energy above the lowest structure with this stoichiometry (meV/atom) = 302
- ΔE_f (raw) (eV/atom) = 0.53